[1]
! TlInSn2Cl6 | the Alexandria database | PBE | optimized geometry; values from VASP
&SYSTEM
  ibrav = 0, nat = 20, ntyp = 4
/
ATOMIC_SPECIES
Tl 204.38 Tl.upf
In 114.82 In.upf
Sn 118.71 Sn.upf
Cl 35.45 Cl.upf
CELL_PARAMETERS angstrom
7.9892 -0.6835 -0.7093
1.7935 9.2359 1.7433
1.7935 1.3999 9.2942
ATOMIC_POSITIONS angstrom
Tl 3.7908 8.2534 2.3481
Tl 7.7854 1.6989 7.9801
In 3.7908 3.7282 6.7086
In 7.7854 6.2241 3.6196
Sn 5.5112 8.2657 7.4514
Sn 2.0704 3.1541 2.1467
Sn 6.0651 1.6866 2.8769
Sn 9.5058 6.7982 8.1816
Cl 2.2864 1.0911 7.0686
Cl 5.2952 3.2707 9.3306
Cl 9.2898 8.8613 3.2596
Cl 6.2810 6.6816 0.9976
Cl 5.3947 9.1546 4.9890
Cl 2.1869 5.6477 1.3497
Cl 6.1815 0.7977 5.3392
Cl 9.3893 4.3046 8.9786
Cl 3.2906 6.8416 6.7129
Cl 4.2911 3.8393 3.5972
Cl 8.2857 3.1107 3.6153
Cl 7.2852 6.1130 6.7311
! Uncorrected formation energy: -951 meV per atom
! Density of states at the Fermi level: 0.00 states/eV/f.u.

[2]
! TlIn2Sn2Cl7 | the Alexandria database | PBE | optimized geometry; values from VASP
&SYSTEM
  ibrav = 0, nat = 12, ntyp = 4
/
ATOMIC_SPECIES
Tl 204.38 Tl.upf
In 114.82 In.upf
Sn 118.71 Sn.upf
Cl 35.45 Cl.upf
CELL_PARAMETERS angstrom
-5.3010 -0.6047 2.0602
3.3659 -0.7216 4.5673
-1.9272 12.0810 7.2253
ATOMIC_POSITIONS angstrom
Tl 0.0000 0.0000 0.0000
In -2.1926 3.2564 7.7316
In -1.6696 7.4983 6.1212
Sn -2.7098 8.7131 9.7739
Sn -1.1524 2.0415 4.0789
Cl -0.9675 -0.6632 3.3138
Cl -1.4734 4.5572 5.3059
Cl -2.3888 6.1974 8.5468
Cl -3.3611 1.4238 5.3629
Cl 0.0138 1.3783 6.3392
Cl -3.8760 9.3764 7.5136
Cl -0.5011 9.3309 8.4899
! Uncorrected formation energy: -925 meV per atom
! Density of states at the Fermi level: 0.00 states/eV/f.u.

[3]
! Tl2InSnCl6 | the Alexandria database | PBE | optimized geometry; values from VASP
&SYSTEM
  ibrav = 0, nat = 10, ntyp = 4
/
ATOMIC_SPECIES
Tl 204.38 Tl.upf
In 114.82 In.upf
Sn 118.71 Sn.upf
Cl 35.45 Cl.upf
CELL_PARAMETERS angstrom
-2.3497 0.8630 -7.4310
5.2176 -5.3926 -2.2771
-5.2050 -1.6808 5.6014
ATOMIC_POSITIONS angstrom
Tl -3.5535 -2.0441 -3.2310
Tl 0.2347 -5.1755 -0.6495
In -2.2896 -6.1682 -4.1186
Sn -3.7221 -3.9025 0.7340
Cl -2.8704 -4.9050 -1.7321
Cl -0.3671 -4.1635 -4.5108
Cl -4.3098 -2.6242 3.1465
Cl -5.4927 -2.1928 -0.5886
Cl -1.7734 -1.8636 0.3495
Cl -1.6896 -5.3383 2.0040
! Uncorrected formation energy: -963 meV per atom
! Density of states at the Fermi level: 3.16 states/eV/f.u.

[4]
! TlInSn2Cl8 | the Alexandria database | PBE | optimized geometry; values from VASP
&SYSTEM
  ibrav = 0, nat = 12, ntyp = 4
/
ATOMIC_SPECIES
Tl 204.38 Tl.upf
In 114.82 In.upf
Sn 118.71 Sn.upf
Cl 35.45 Cl.upf
CELL_PARAMETERS angstrom
7.4474 -0.2327 0.5890
-0.0683 6.2940 -0.8438
0.9021 -1.2174 8.5208
ATOMIC_POSITIONS angstrom
Tl 0.4510 -0.6087 4.2604
In 0.0000 0.0000 0.0000
Sn 3.6246 2.4087 6.2543
Sn 4.6565 2.4352 2.0117
Cl 1.5113 4.9559 0.5029
Cl 5.3549 4.6995 0.5752
Cl 7.0610 1.4838 2.5888
Cl 6.7698 -0.1120 7.7630
Cl 2.9262 0.1444 7.6908
Cl 1.2201 3.3601 5.6772
Cl 4.9490 3.9494 4.0958
Cl 3.3322 0.8946 4.1702
! Uncorrected formation energy: -1023 meV per atom
! Density of states at the Fermi level: 0.00 states/eV/f.u.

[5]
! Tl3In3SnCl8 | the Alexandria database | PBE | optimized geometry; values from VASP
&SYSTEM
  ibrav = 0, nat = 15, ntyp = 4
/
ATOMIC_SPECIES
Tl 204.38 Tl.upf
In 114.82 In.upf
Sn 118.71 Sn.upf
Cl 35.45 Cl.upf
CELL_PARAMETERS angstrom
9.1048 0.0000 0.0000
-4.5524 7.8897 -0.0276
0.0000 -5.2341 7.4903
ATOMIC_POSITIONS angstrom
Tl 0.0000 0.0000 0.0000
Tl -2.2762 3.9448 -0.0138
Tl 2.2762 3.9448 -0.0138
In 4.5524 -2.6170 3.7451
In 2.2762 1.3278 3.7314
In -2.2762 1.3278 3.7314
Sn 0.0000 -2.6170 3.7451
Cl 0.0000 2.6350 1.8788
Cl 4.5524 0.0206 5.5839
Cl 4.5524 2.8964 2.0583
Cl 0.0000 -0.2408 5.4044
Cl 7.0514 -1.4360 2.0749
Cl -2.4990 4.0917 5.3879
Cl 2.0534 -1.4360 2.0749
Cl 2.4990 4.0917 5.3879
! Uncorrected formation energy: -927 meV per atom
! Density of states at the Fermi level: 0.00 states/eV/f.u.

[6]
! TmInSn2Cl8 | the Alexandria database | PBE | optimized geometry; values from VASP
&SYSTEM
  ibrav = 0, nat = 12, ntyp = 4
/
ATOMIC_SPECIES
Tm 168.93 Tm.upf
In 114.82 In.upf
Sn 118.71 Sn.upf
Cl 35.45 Cl.upf
CELL_PARAMETERS angstrom
6.8427 0.0806 0.2021
0.1286 6.4369 0.0939
0.2711 0.1334 8.9220
ATOMIC_POSITIONS angstrom
Tm 0.0000 0.0000 0.0000
In 0.1355 0.0667 4.4610
Sn 3.5913 3.3222 6.8450
Sn 3.6511 3.3288 2.3730
Cl 1.3510 5.0952 1.9667
Cl 4.8314 4.9758 0.5163
Cl 5.9775 1.6865 2.0916
Cl 5.8914 1.5557 7.2513
Cl 2.4110 1.6752 8.7017
Cl 1.2649 4.9645 7.1264
Cl 4.5928 4.7433 4.3085
Cl 2.6496 1.9076 4.9095
! Uncorrected formation energy: -1386 meV per atom
! Density of states at the Fermi level: 0.00 states/eV/f.u.